Compound: SrMgCo2
Source: Alexandria via LeMat-Bulk
Functional: PBE
Structure: optimized geometry

a = 4.7859 Å, b = 4.7859 Å, c = 3.3026 Å
α = 90.00°, β = 90.00°, γ = 90.07°
Fractional coordinates of all 4 atoms:
Sr1 0.0000 0.0000 0.0000
Mg1 0.5000 0.5000 0.0000
Co1 0.0000 0.5000 0.5000
Co2 0.5000 0.0000 0.5000

Properties
For the uncorrected energy, the calculation gives -3.7295 eV per atom. Its energy of formation is 0.6426 eV per atom. The relative energy among the computed polymorphs comes out at 501.3 meV per atom. The space group is No. 65.